Density functional theory data (PBE-GGA) for a geometry-optimized LaEr4Tm structure.

Mass density: 8.08 g/cm³
Formation energy from the elements: 0.272 eV/atom
Total DFT energy (no corrections): -26.0 eV for the cell shown
Relative energy among the computed polymorphs: 0.131 eV/atom

abc: 6.5727 6.5727 6.5727
angles: 60.00 60.00 60.00
Each line ends with the local moment (μB).
Positions (direct):
1 Tm 0.0000 0.0000 0.0000  0.05
2 La 0.2500 0.2500 0.2500  0.27
3 Er 0.6256 0.6256 0.1231  0.11
4 Er 0.6256 0.1231 0.6256  0.11
5 Er 0.6256 0.6256 0.6256  0.11
6 Er 0.1231 0.6256 0.6256  0.11